First-principles (PBE with a Hubbard U) data for a relaxed structure of LiMn3O6, as listed in Alexandria via LeMat-Bulk.

Results
calculated total energy = -136.459 eV per cell
D(E_F) = 0.25 states/eV per atom
excess energy over the best structure of this formula in the dataset = 139 meV per atom

Cell: 5.016 6.339 6.339 Å, 103.63 90.00 90.00°
Fractional positions:
Li 0.993 0.160 0.840
Mn 0.957 0.076 0.314
Li 0.493 0.840 0.160
O 0.628 0.219 0.781
O 0.301 0.028 0.972
O 0.164 0.363 0.303
O 0.204 0.441 0.885
O 0.664 0.637 0.697
Mn 0.914 0.615 0.385
Mn 0.957 0.686 0.924
O 0.128 0.781 0.219
O 0.801 0.972 0.028
O 0.704 0.559 0.115
O 0.164 0.697 0.637
O 0.204 0.115 0.559
O 0.664 0.303 0.363
Mn 0.414 0.385 0.615
Mn 0.457 0.924 0.686
Mn 0.457 0.314 0.076
O 0.704 0.885 0.441